w.
Below is a geometry-optimized AcBP structure, with properties calculated at the PBE level.

Magnetic moment, μB/f.u.: 0.00
Crystal system: hexagonal

Lattice parameters (Å, degrees): 4.6699 3.6221 3.6221 120.00 90.00 90.00
Fractional positions:
P: 0.1667 0.3333 0.6667
Ac: 0.6667 0.6667 0.3333
B: 0.1667 0.0000 0.0000

***

x.
Below is a geometry-optimized AcBP structure, with properties calculated at the PBE level.

Magnetic moment, μB/f.u.: 0.00
Crystal system: tetragonal

Lattice parameters (Å, degrees): 4.3598 4.3598 4.9398 116.19 116.19 90.00
Fractional positions:
P: 0.5625 0.5625 0.1250
Ac: 0.9580 0.9580 0.9161
B: 0.3295 0.3295 0.6590

***

y.
Below is a geometry-optimized AcBP structure, with properties calculated at the PBE level.

Magnetic moment, μB/f.u.: 0.00
Crystal system: orthorhombic

Lattice parameters (Å, degrees): 6.0320 7.4442 7.1501 80.16 65.05 66.10
Fractional positions:
Ac: 0.4808 0.7386 0.2997
Ac: 0.2195 0.2614 0.2997
Ac: 0.7805 0.7386 0.7003
Ac: 0.5192 0.2614 0.7003
B: 0.8739 0.0000 0.2523
B: 0.9394 0.1212 0.0000
B: 0.0606 0.8788 0.0000
B: 0.1261 0.0000 0.7477
P: 0.0269 0.6995 0.2466
P: 0.7265 0.3005 0.2466
P: 0.2735 0.6995 0.7534
P: 0.9731 0.3005 0.7534

***

w takes first place; second place is 92 meV/atom up.

***

w.
Below is a geometry-optimized Ac2BP structure, with properties calculated at the PBE level.

Magnetic moment, μB/f.u.: 1.90
Crystal system: trigonal

Lattice parameters (Å, degrees): 4.3271 4.3271 7.5742 73.40 73.40 60.00
Fractional positions:
P: 0.0000 0.0000 0.0000
Ac: 0.2471 0.2471 0.2587
Ac: 0.7529 0.7529 0.7413
B: 0.5000 0.5000 0.5000

***

x.
Below is a geometry-optimized Ac2BP structure, with properties calculated at the PBE level.

Magnetic moment, μB/f.u.: 0.77
Crystal system: cubic

Lattice parameters (Å, degrees): 5.2053 5.2053 5.2053 60.00 60.00 60.00
Fractional positions:
P: 0.0000 0.0000 0.0000
Ac: 0.2500 0.2500 0.2500
Ac: 0.7500 0.7500 0.7500
B: 0.5000 0.5000 0.5000

***

w takes first place; second place is 261 meV/atom up.

***

w.
Below is a geometry-optimized AcBPd3 structure, with properties calculated at the PBE level.

Magnetic moment, μB/f.u.: 0.00
Crystal system: orthorhombic

Lattice parameters (Å, degrees): 6.5832 6.3670 6.3670 56.13 58.87 58.87
Fractional positions:
Ac: 0.7500 0.3077 0.1923
Ac: 0.2500 0.6923 0.8077
B: 0.0000 0.5000 0.5000
B: 0.5000 0.0000 0.0000
Pd: 0.7791 0.2209 0.7209
Pd: 0.2791 0.2209 0.7209
Pd: 0.7209 0.7791 0.2791
Pd: 0.2209 0.7791 0.2791
Pd: 0.7500 0.8032 0.6968
Pd: 0.2500 0.1968 0.3032

***

x.
Below is a geometry-optimized AcBPd3 structure, with properties calculated at the PBE level.

Magnetic moment, μB/f.u.: 0.00
Crystal system: cubic

Lattice parameters (Å, degrees): 4.4815 4.4815 4.4815 90.00 90.00 90.00
Fractional positions:
Ac: 0.5000 0.5000 0.5000
B: 0.0000 0.0000 0.0000
Pd: 0.0000 0.5000 0.0000
Pd: 0.0000 0.0000 0.5000
Pd: 0.5000 0.0000 0.0000

***

w takes first place; second place is 31 meV/atom up.

***

w.
Below is a geometry-optimized AcBPt3 structure, with properties calculated at the PBE level.

Magnetic moment, μB/f.u.: 0.00
Crystal system: cubic

Lattice parameters (Å, degrees): 4.4943 4.4943 4.4943 90.00 90.00 90.00
Fractional positions:
Ac: 0.5000 0.5000 0.5000
B: 0.0000 0.0000 0.0000
Pt: 0.0000 0.5000 0.0000
Pt: 0.0000 0.0000 0.5000
Pt: 0.5000 0.0000 0.0000

***

x.
Below is a geometry-optimized AcBPt3 structure, with properties calculated at the PBE level.

Magnetic moment, μB/f.u.: 0.00
Crystal system: hexagonal

Lattice parameters (Å, degrees): 5.6915 6.0792 6.0789 120.00 90.00 90.00
Fractional positions:
Ac: 0.7500 0.6668 0.3334
Ac: 0.2500 0.3332 0.6666
B: 0.0000 0.0000 0.0000
B: 0.5000 0.0000 0.0000
Pt: 0.7500 0.6665 0.8333
Pt: 0.2500 0.8333 0.6666
Pt: 0.2500 0.3335 0.1667
Pt: 0.7500 0.1667 0.3334
Pt: 0.2500 0.8333 0.1667
Pt: 0.7500 0.1668 0.8333

***

w takes first place; second place is 22 meV/atom up.

***

w.
Below is a geometry-optimized Ac2BPt4 structure, with properties calculated at the PBE level.

Magnetic moment, μB/f.u.: 0.00
Crystal system: tetragonal

Lattice parameters (Å, degrees): 5.7556 5.7556 6.3144 117.11 117.10 90.02
Fractional positions:
Ac: 0.7500 0.2500 0.5000
Ac: 0.2500 0.7500 0.5000
B: 0.0000 0.0000 0.0000
Pt: 0.7416 0.2584 0.0000
Pt: 0.2584 0.7416 0.0000
Pt: 0.2586 0.2586 0.0000
Pt: 0.7414 0.7414 0.0000

***

x.
Below is a geometry-optimized Ac2BPt4 structure, with properties calculated at the PBE level.

Magnetic moment, μB/f.u.: 0.00
Crystal system: monoclinic

Lattice parameters (Å, degrees): 5.9896 6.3979 8.5067 90.00 110.35 90.00
Fractional positions:
Ac: 0.2548 0.2500 0.0797
Ac: 0.7452 0.7500 0.9203
Ac: 0.2576 0.7500 0.4139
Ac: 0.7424 0.2500 0.5861
B: 0.8493 0.2500 0.2101
B: 0.1507 0.7500 0.7899
Pt: 0.7160 0.5335 0.2668
Pt: 0.6827 0.2500 0.9512
Pt: 0.3173 0.7500 0.0488
Pt: 0.7160 0.9665 0.2668
Pt: 0.8487 0.7500 0.5741
Pt: 0.2840 0.0335 0.7332
Pt: 0.2840 0.4665 0.7332
Pt: 0.1513 0.2500 0.4259

***

x takes first place; second place is 111 meV/atom up.

***

w.
Below is a geometry-optimized BaAc structure, with properties calculated at the PBE level.

Magnetic moment, μB/f.u.: 0.01
Crystal system: cubic

Lattice parameters (Å, degrees): 6.6418 6.6418 6.6405 59.99 59.99 60.00
Fractional positions:
Ba: 0.3749 0.3749 0.8754
Ba: 0.6251 0.6251 0.1246
Ac: 0.1248 0.1248 0.6256
Ac: 0.8752 0.8752 0.3744

***

x.
Below is a geometry-optimized BaAc structure, with properties calculated at the PBE level.

Magnetic moment, μB/f.u.: 0.00
Crystal system: orthorhombic

Lattice parameters (Å, degrees): 4.1412 5.7671 8.6339 90.00 90.01 90.00
Fractional positions:
Ac: 0.2501 0.7500 0.1044
Ac: 0.7499 0.2500 0.8956
Ba: 0.2497 0.7500 0.6374
Ba: 0.7503 0.2500 0.3626

***

y.
Below is a geometry-optimized BaAc structure, with properties calculated at the PBE level.

Magnetic moment, μB/f.u.: 0.00
Crystal system: cubic

Lattice parameters (Å, degrees): 4.7096 4.7096 4.7096 90.00 90.00 90.00
Fractional positions:
Ac: 0.5000 0.5000 0.5000
Ba: 0.0000 0.0000 0.0000

***

x takes first place; second place is 58 meV/atom up.